Record 1
A geometry-optimized HgAuO2F structure. Source: the Alexandria database, functional PBE.

The structure in CIF format:
```
data_HgAuO2F
_chemical_formula_sum 'Hg1 Au1 O2 F1'
_symmetry_space_group_name_H-M 'P 4/m m m'
_symmetry_Int_Tables_number 123
_symmetry_space_group_name_Hall '-P 4 2'
_cell_length_a 4.234
_cell_length_b 4.234
_cell_length_c 4.418
_cell_angle_alpha 90.00
_cell_angle_beta 90.00
_cell_angle_gamma 90.00
loop_
_atom_site_label
_atom_site_fract_x
_atom_site_fract_y
_atom_site_fract_z
Hg1 0.000 0.000 0.000
Au1 0.500 0.500 0.500
O1 0.000 0.500 0.000
F1 0.000 0.000 0.500
```

Properties
As for the raw formation energy: 363 meV/atom. The calculation puts the theoretical density at 9.404 Mg/m³. As for the total energy: -13.55 eV/f.u.

---

Record 2
A geometry-optimized Hg4AuOF2 structure. Source: the Alexandria database, functional PBE.

The structure in CIF format:
```
data_Hg4AuOF2
_chemical_formula_sum 'Hg16 Au4 O4 F8'
_symmetry_space_group_name_H-M 'C 1 2/c 1'
_symmetry_Int_Tables_number 15
_cell_length_a 10.012
_cell_length_b 13.133
_cell_length_c 6.600
_cell_angle_alpha 90.00
_cell_angle_beta 130.88
_cell_angle_gamma 90.00
loop_
_symmetry_equiv_pos_as_xyz
'x,y,z'
'-x,-y,-z'
'-x,y,-z+1/2'
'x,-y,z+1/2'
'x+1/2,y+1/2,z'
'-x+1/2,-y+1/2,-z'
'-x+1/2,y+1/2,-z+1/2'
'x+1/2,-y+1/2,z+1/2'
loop_
_atom_site_label
_atom_site_fract_x
_atom_site_fract_y
_atom_site_fract_z
Hg1 0.000 0.217 0.003
Hg2 0.225 0.440 0.975
Au1 0.000 0.000 0.000
O1 0.250 0.250 0.000
F1 0.000 0.500 0.000
F2 0.250 0.250 0.500
```

Properties
As for the raw formation energy: -444 meV/atom. The calculation puts the theoretical density at 10.663 Mg/m³. As for the total energy: -16.74 eV/f.u.

---

Record 3
A geometry-optimized Hg3AuO2F6 structure. Source: the Alexandria database, functional PBE.

The structure in CIF format:
```
data_Hg3AuO2F6
_chemical_formula_sum 'Hg6 Au2 O4 F12'
_symmetry_space_group_name_H-M 'C 1 2/m 1'
_symmetry_Int_Tables_number 12
_cell_length_a 12.618
_cell_length_b 6.972
_cell_length_c 4.999
_cell_angle_alpha 90.00
_cell_angle_beta 105.67
_cell_angle_gamma 90.00
loop_
_symmetry_equiv_pos_as_xyz
'x,y,z'
'-x,-y,-z'
'-x,y,-z'
'x,-y,z'
'x+1/2,y+1/2,z'
'-x+1/2,-y+1/2,-z'
'-x+1/2,y+1/2,-z'
'x+1/2,-y+1/2,z'
loop_
_atom_site_label
_atom_site_fract_x
_atom_site_fract_y
_atom_site_fract_z
Hg1 0.000 0.000 0.000
Hg2 0.250 0.250 0.000
Au1 0.000 0.500 0.500
O1 0.167 0.000 0.068
F1 0.100 0.500 0.933
F2 0.101 0.292 0.450
```

Properties
As for the raw formation energy: -897 meV/atom. The calculation puts the theoretical density at 7.410 Mg/m³. As for the total energy: -36.09 eV/f.u.

---

Record 4
A geometry-optimized HgAuO2F structure. Source: the Alexandria database, functional PBE.

The structure in CIF format:
```
data_HgAuO2F
_chemical_formula_sum 'Hg1 Au1 O2 F1'
_symmetry_space_group_name_H-M 'P 4/m m m'
_symmetry_Int_Tables_number 123
_symmetry_space_group_name_Hall '-P 4 2'
_cell_length_a 4.132
_cell_length_b 4.132
_cell_length_c 4.317
_cell_angle_alpha 90.00
_cell_angle_beta 90.00
_cell_angle_gamma 90.00
loop_
_atom_site_label
_atom_site_fract_x
_atom_site_fract_y
_atom_site_fract_z
Hg1 0.000 0.000 0.000
Au1 0.500 0.500 0.500
O1 0.000 0.500 0.500
F1 0.500 0.500 0.000
```

Properties
As for the raw formation energy: 3 meV/atom. The calculation puts the theoretical density at 10.103 Mg/m³. As for the total energy: -15.35 eV/f.u.

---

Record 5
A geometry-optimized HgPdAu2F8 structure. Source: the Alexandria database, functional PBE.

The structure in CIF format:
```
data_HgPdAu2F8
_chemical_formula_sum 'Hg2 Pd2 Au4 F16'
_symmetry_space_group_name_H-M 'I -4 m 2'
_symmetry_Int_Tables_number 119
_symmetry_space_group_name_Hall 'I -4 -2'
_cell_length_a 6.920
_cell_length_b 6.920
_cell_length_c 8.183
_cell_angle_alpha 90.00
_cell_angle_beta 90.00
_cell_angle_gamma 90.00
loop_
_atom_site_label
_atom_site_fract_x
_atom_site_fract_y
_atom_site_fract_z
Hg1 0.000 0.000 0.000
Pd1 0.000 0.500 0.250
Au1 0.000 0.000 0.500
Au2 0.000 0.500 0.750
F1 0.000 0.207 0.277
F2 0.000 0.319 0.965
```

Properties
As for the raw formation energy: -894 meV/atom. The calculation puts the theoretical density at 7.230 Mg/m³. As for the total energy: -37.75 eV/f.u.

---

Record 6
A geometry-optimized Hg2PdAuF structure. Source: the Alexandria database, functional PBE.

The structure in CIF format:
```
data_Hg2PdAuF
_chemical_formula_sum 'Hg2 Pd1 Au1 F1'
_symmetry_space_group_name_H-M 'P 4/m m m'
_symmetry_Int_Tables_number 123
_symmetry_space_group_name_Hall '-P 4 2'
_cell_length_a 5.303
_cell_length_b 5.303
_cell_length_c 5.197
_cell_angle_alpha 90.00
_cell_angle_beta 90.00
_cell_angle_gamma 90.00
loop_
_atom_site_label
_atom_site_fract_x
_atom_site_fract_y
_atom_site_fract_z
Hg1 0.000 0.500 0.000
Pd1 0.000 0.000 0.500
Au1 0.000 0.000 0.000
F1 0.500 0.500 0.500
```

Properties
As for the raw formation energy: 205 meV/atom. The calculation puts the theoretical density at 8.220 Mg/m³. As for the total energy: -9.92 eV/f.u.

---

Record 7
A geometry-optimized HgPdAuF6 structure. Source: the Alexandria database, functional PBE.

The structure in CIF format:
```
data_HgPdAuF6
_chemical_formula_sum 'Hg2 Pd2 Au2 F12'
_symmetry_space_group_name_H-M 'P -3 1 c'
_symmetry_Int_Tables_number 163
_symmetry_space_group_name_Hall '-P 3 2c'
_cell_length_a 5.8962
_cell_length_b 5.8962
_cell_length_c 9.4312
_cell_angle_alpha 90.00
_cell_angle_beta 90.00
_cell_angle_gamma 120.00
loop_
_atom_site_label
_atom_site_fract_x
_atom_site_fract_y
_atom_site_fract_z
Hg1 0.3333 0.6667 0.2500
Pd1 0.3333 0.6667 0.7500
Au1 0.0000 0.0000 0.0000
F1 0.0329 0.3580 0.6310
```

Properties
As for the raw formation energy: -1084 meV/atom. The calculation puts the theoretical density at 7.228 Mg/m³. As for the total energy: -29.76 eV/f.u.

---

Record 8
A geometry-optimized HgPtAuF6 structure. Source: the Alexandria database, functional PBE.

The structure in CIF format:
```
data_HgPtAuF6
_chemical_formula_sum 'Hg2 Pt2 Au2 F12'
_symmetry_space_group_name_H-M 'P -3 1 c'
_symmetry_Int_Tables_number 163
_symmetry_space_group_name_Hall '-P 3 2c'
_cell_length_a 6.1631
_cell_length_b 6.1631
_cell_length_c 8.9035
_cell_angle_alpha 90.00
_cell_angle_beta 90.00
_cell_angle_gamma 120.00
loop_
_atom_site_label
_atom_site_fract_x
_atom_site_fract_y
_atom_site_fract_z
Hg1 0.3333 0.6667 0.2500
Pt1 0.3333 0.6667 0.7500
Au1 0.0000 0.0000 0.0000
F1 0.0599 0.3882 0.6276
```

Properties
As for the raw formation energy: -1012 meV/atom. The calculation puts the theoretical density at 8.013 Mg/m³. As for the total energy: -29.95 eV/f.u.